Entry 1:
Material: RbMnTl
Method: DFT, PBE
State: relaxed

Unit cell a=3.4746 b=4.4202 c=13.1880 alpha=90.00 beta=89.99 gamma=90.00
Atoms (fractional coordinates):
Rb1 0.2211 0.0000 0.9562
Rb2 0.2211 0.5000 0.4562
Mn1 0.2206 0.0000 0.2206
Mn2 0.2206 0.5000 0.7206
Tl1 0.7206 0.0000 0.6877
Tl2 0.7206 0.5000 0.1877

Output
Energy above the most stable polymorph in this dataset ... 105 meV/atom
Energy relative to the elements ... 0.472 eV per atom
Final energy ... -3.70 eV/atom



Entry 2:
Material: LiGdCd
Method: DFT, PBE
State: relaxed

Unit cell a=3.5728 b=3.5728 c=6.1404 alpha=106.91 beta=106.91 gamma=90.00
Atoms (fractional coordinates):
Cd1 0.9270 0.9270 0.8540
Gd1 0.6136 0.6136 0.2271
Li1 0.3094 0.3094 0.6189

Output
Energy above the most stable polymorph in this dataset ... 36 meV/atom
Energy relative to the elements ... -0.148 eV per atom
Final energy ... -5.78 eV/atom



Entry 3:
Material: MgCuPb2
Method: DFT, PBE
State: relaxed

Unit cell a=4.4819 b=3.9032 c=5.7584 alpha=71.22 beta=90.00 gamma=90.00
Atoms (fractional coordinates):
Cu1 0.0000 0.6974 0.4763
Mg1 0.5000 0.5571 0.7640
Pb1 0.0000 0.9725 0.9327
Pb2 0.5000 0.2730 0.3269

Output
Energy relative to the elements ... 0.103 eV per atom
Final energy ... -3.17 eV/atom



Entry 4:
Material: Th3Al3Si2
Method: DFT, PBE
State: relaxed

Unit cell a=4.1647 b=6.0098 c=15.8520 alpha=90.00 beta=90.00 gamma=110.27
Atoms (fractional coordinates):
Th1 0.8582 0.7163 0.4072
Th2 0.1418 0.2837 0.9072
Th3 0.8582 0.7163 0.0928
Th4 0.1418 0.2837 0.5928
Th5 0.5702 0.1404 0.2500
Th6 0.4298 0.8596 0.7500
Al1 0.5775 0.1550 0.4449
Al2 0.4225 0.8450 0.9449
Al3 0.5775 0.1550 0.0551
Al4 0.4225 0.8450 0.5551
Al5 0.2934 0.5868 0.2500
Al6 0.7066 0.4132 0.7500
Si1 0.8492 0.6985 0.8788
Si2 0.1508 0.3015 0.3788
Si3 0.8492 0.6985 0.6212
Si4 0.1508 0.3015 0.1212

Output
Energy relative to the elements, uncorrected ... -0.51 eV per atom
Final energy ... -6.05 eV/atom



Entry 5:
Material: Li2CaPb
Method: DFT, PBE
State: relaxed

Unit cell a=4.6182 b=4.6182 c=10.8295 alpha=77.69 beta=77.69 gamma=90.00
Atoms (fractional coordinates):
Pb1 0.0000 0.0000 0.0000
Pb2 0.7500 0.2500 0.5000
Ca1 0.5000 0.5000 0.0000
Ca2 0.2500 0.7500 0.5000
Li1 0.7185 0.1250 0.2500
Li2 0.0315 0.6250 0.2500
Li3 0.3750 0.2815 0.7500
Li4 0.8750 0.9685 0.7500

Output
Energy relative to the elements ... -0.126 eV per atom
Final energy ... -2.51 eV/atom



Entry 6:
Material: PmSmSi
Method: DFT, PBE
State: relaxed

Unit cell a=4.2016 b=6.3606 c=7.3210 alpha=115.75 beta=106.68 gamma=90.00
Atoms (fractional coordinates):
Pm1 0.6983 0.6983 0.3967
Pm2 0.3017 0.3017 0.6033
Sm1 0.0000 0.7711 0.0000
Sm2 0.0000 0.2289 0.0000
Si1 0.6388 0.1388 0.2776
Si2 0.3612 0.8612 0.7224

Output
Energy above the most stable polymorph in this dataset ... 49 meV/atom
Energy relative to the elements, uncorrected ... -0.44 eV per atom
Final energy ... -5.41 eV/atom



no.,calculated volume (Å³ per atom)
1,33.8
2,23.8
3,23.8
4,23.3
5,27.5
6,27.8